Entry 1:
Entry from Alexandria: a crystal of K2CeP2O8 relaxed with PBEsol (SCAN).

Output
Total magnetization: 0.0 μB per formula unit
Excess energy over the best structure of this formula in the dataset: 0 meV/atom
VASP energy: -13.017 eV/atom
ΔE_f (raw): -2.8735 eV/atom

Geometry as POSCAR:
```
K2CeP2O8
1.0
-3.360 3.418 -5.910
-5.217 -6.780 3.202
-4.875 6.963 6.798
O P Ce K
32 8 4 8
Cartesian
-7.974 1.321 -0.951
-7.352 2.566 3.329
-3.226 0.829 1.282
-6.101 1.034 0.762
-5.394 -0.045 -2.009
-2.698 1.592 -0.973
-3.322 -2.134 2.334
-5.988 4.523 4.231
-5.479 2.280 5.042
-10.754 2.008 5.064
-7.453 9.135 0.208
-7.465 -0.923 -0.140
-6.149 4.289 0.286
-8.059 3.645 6.099
-5.707 6.712 -0.441
-7.348 6.191 1.463
-4.916 2.833 2.641
-7.746 -3.112 4.532
-8.274 1.089 6.015
-6.000 -5.535 3.883
-8.537 0.767 1.450
-2.010 -0.749 -0.318
-10.227 2.771 2.808
-7.304 -0.689 3.805
-4.147 1.229 -3.857
-10.131 5.734 1.757
-9.305 2.371 7.948
-6.105 -2.591 2.628
-8.632 -2.356 2.405
-11.443 4.350 4.409
-5.178 2.511 -1.925
-4.820 5.956 1.686
-5.317 1.266 -2.833
-7.509 0.565 0.316
-2.144 0.709 0.168
-7.409 -2.170 3.346
-8.136 2.334 6.924
-5.943 3.035 3.775
-6.043 5.770 0.745
-11.308 2.891 3.922
-5.743 4.171 6.606
-4.499 2.651 0.343
-7.709 -0.571 -2.515
-8.953 0.949 3.748
-4.683 -0.004 3.343
-8.403 -1.758 6.722
-7.662 -3.556 0.163
-8.769 3.604 0.748
-8.661 5.036 3.821
-5.050 5.358 -2.631
-4.792 -1.436 0.270
-5.790 7.156 3.928
```

Entry 2:
Entry from Alexandria: a crystal of K2CeP2O8 relaxed with PBEsol (SCAN).

Output
Total magnetization: 0.0 μB per formula unit
Excess energy over the best structure of this formula in the dataset: 25 meV/atom
VASP energy: -12.992 eV/atom
ΔE_f (raw): -2.8482 eV/atom

Geometry as POSCAR:
```
K2CeP2O8
1.0
-1.903 -1.619 -6.366
-0.807 -6.520 1.900
-7.103 5.730 4.339
O P K Ce
16 4 4 2
Cartesian
-6.235 2.435 1.245
-1.985 -6.090 -1.531
-6.528 0.071 1.934
-7.403 -0.754 -1.268
-3.086 -3.368 -0.562
-7.476 2.107 4.057
-7.111 1.610 -1.957
-5.069 -2.145 -1.612
-8.698 1.068 -0.030
-2.759 -0.094 -1.493
-4.259 1.193 2.285
-5.358 -4.479 -0.932
-4.940 0.613 0.006
-3.449 -0.681 -3.801
-1.467 -1.904 -2.751
-3.776 -3.956 -2.870
-8.137 0.601 -1.393
-2.224 -0.560 -2.866
-4.312 -3.489 -1.497
-5.501 1.080 1.370
-7.223 -2.420 0.938
-2.316 -1.215 1.001
-6.271 -1.610 4.121
-2.719 -4.475 1.951
-1.355 -4.070 -2.233
-5.181 0.020 -2.130
```

What is the formula in the first record?
K2CeP2O8